# 1
AsSe4Br after structural relaxation. Source: Alexandria via LeMat-Bulk, functional PBE.

Computed properties:
total energy	-2.702	eV per atom
uncorrected formation energy	0.6752	eV/atom
V	132.1	Å³ per cell
Fermi-level density of states	0.44	states/eV per atom

abc: 5.717 5.717 5.717
angles: 60.00 60.00 60.00
Fractional coordinates of all 6 atoms:
As 0.750 0.750 0.750
Se 0.864 0.379 0.379
Se 0.379 0.379 0.864
Se 0.379 0.864 0.379
Se 0.379 0.379 0.379
Br 0.000 0.000 0.000

# 2
AsSeBr2 after structural relaxation. Source: Alexandria via LeMat-Bulk, functional PBE.

Computed properties:
total energy	-2.697	eV per atom
uncorrected formation energy	0.1727	eV/atom
V	159.0	Å³ per cell
Fermi-level density of states	0.88	states/eV per atom

abc: 4.957 4.957 9.911
angles: 90.00 90.00 139.23
Fractional coordinates of all 4 atoms:
As 0.500 0.500 0.718
Se 0.000 0.000 0.546
Br 0.000 0.000 0.932
Br 0.500 0.500 0.304